First-principles (PBE-GGA) data for a geometry-optimized NaZrAl structure, as listed in the Alexandria database.

Unit cell a=8.830 b=8.830 c=3.450 alpha=90.00 beta=90.00 gamma=148.94
Atoms (fractional coordinates):
Na1 0.782 0.218 0.250
Na2 0.218 0.782 0.750
Al1 0.060 0.940 0.250
Al2 0.940 0.060 0.750
Zr1 0.429 0.571 0.250
Zr2 0.571 0.429 0.750

Computed properties:
The magnetization comes out at 0.0 μB per formula unit. As for the symmetry: Cmcm (63). Its density of states at the Fermi level is 0.478 states/eV per atom. The calculation puts the formation energy at -0.024 eV/atom. Its calculated volume is 23.1 Å³/atom.


First-principles (PBE-GGA) data for a geometry-optimized HoNpRh2 structure, as listed in the Alexandria database.

Unit cell a=3.979 b=3.979 c=6.782 alpha=72.94 beta=72.94 gamma=60.00
Site moments in Bohr magnetons follow the coordinates.
Atoms (fractional coordinates):
Np1 0.000 0.000 0.000  3.30
Rh1 0.742 0.742 0.773  -0.18
Rh2 0.258 0.258 0.227  -0.18
Ho1 0.500 0.500 0.500  0.01

Computed properties:
The magnetization comes out at 3.2 μB per formula unit. As for the symmetry: R-3m (166). Its density of states at the Fermi level is 1.906 states/eV per atom. The calculation puts the formation energy at -0.416 eV/atom. Its calculated volume is 21.9 Å³/atom.


First-principles (PBE-GGA) data for a geometry-optimized Y3PbO structure, as listed in the Alexandria database.

Unit cell a=6.681 b=6.685 c=6.560 alpha=86.55 beta=60.97 gamma=80.88
Atoms (fractional coordinates):
Y1 0.955 0.539 0.263
Y2 0.094 0.036 0.169
Y3 0.521 0.121 0.273
Y4 0.938 0.830 0.748
Y5 0.467 0.620 0.208
Y6 0.503 0.327 0.743
Pb1 0.472 0.807 0.683
Pb2 0.963 0.321 0.795
O1 0.099 0.763 0.365
O2 0.295 0.324 0.138

Computed properties:
The magnetization comes out at 0.0 μB per formula unit. As for the symmetry: P1 (1). Its density of states at the Fermi level is 0.246 states/eV per atom. Its calculated volume is 25.3 Å³/atom. Its formation energy without anion corrections is -1371 meV/atom.


Which of these has the lowest calculated volume?
HoNpRh2


Number 1 is which compound?
NaZrAl


Please write out number 3 again, unchanged.
First-principles (PBE-GGA) data for a geometry-optimized Y3PbO structure, as listed in the Alexandria database.

Unit cell a=6.681 b=6.685 c=6.560 alpha=86.55 beta=60.97 gamma=80.88
Atoms (fractional coordinates):
Y1 0.955 0.539 0.263
Y2 0.094 0.036 0.169
Y3 0.521 0.121 0.273
Y4 0.938 0.830 0.748
Y5 0.467 0.620 0.208
Y6 0.503 0.327 0.743
Pb1 0.472 0.807 0.683
Pb2 0.963 0.321 0.795
O1 0.099 0.763 0.365
O2 0.295 0.324 0.138

Computed properties:
The magnetization comes out at 0.0 μB per formula unit. As for the symmetry: P1 (1). Its density of states at the Fermi level is 0.246 states/eV per atom. Its calculated volume is 25.3 Å³/atom. Its formation energy without anion corrections is -1371 meV/atom.